Record 1
Computed, not measured: a PBEsol-optimized structure of TaBe2Cr at the SCAN level of DFT.

## Properties
Energy of formation: 49 meV/atom

Cell lengths 2.5989, 3.3344, 5.2360 Å; angles 90.00, 92.96, 90.00 degrees
Fractional coordinates of all 4 atoms:
Ta  0.0000  0.0000  0.0000
Be  0.4957  0.5000  0.7097
Be  0.5043  0.5000  0.2903
Cr  0.0000  0.0000  0.5000

Record 2
Computed, not measured: a PBEsol-optimized structure of CrCuCI2 at the SCAN level of DFT.

## Properties
VASP energy: -21.67 eV/atom

Cell lengths 5.1962, 5.1962, 4.6682 Å; angles 90.00, 90.00, 90.00 degrees
Fractional coordinates of all 5 atoms:
Cr  0.0000  0.0000  0.0000
Cu  0.0000  0.0000  0.5000
C  0.5000  0.5000  0.5000
I  0.0000  0.5000  0.0000
I  0.5000  0.0000  0.0000

Record 3
Computed, not measured: a PBEsol-optimized structure of PtAu2 at the SCAN level of DFT.

## Properties
Energy of formation: 117 meV/atom

Cell lengths 7.8354, 7.8354, 2.7796 Å; angles 90.00, 90.00, 120.00 degrees
Fractional coordinates of all 9 atoms:
Pt  0.0000  0.0000  0.0000
Pt  0.3333  0.6667  0.5000
Pt  0.6667  0.3333  0.5000
Au  0.0000  0.3627  0.0000
Au  0.0000  0.6942  0.5000
Au  0.3058  0.3058  0.5000
Au  0.3627  0.0000  0.0000
Au  0.6373  0.6373  0.0000
Au  0.6942  0.0000  0.5000

Record 4
Computed, not measured: a PBEsol-optimized structure of InPt at the SCAN level of DFT.

## Properties
Energy of formation: -534 meV/atom

Cell lengths 6.9193, 6.9193, 7.5754 Å; angles 121.06, 121.06, 37.35 degrees
Fractional coordinates of all 10 atoms:
In  0.0000  0.0000  0.0000
In  0.1272  0.1272  0.7409
In  0.3505  0.3505  0.6549
In  0.6495  0.6495  0.3451
In  0.8728  0.8728  0.2591
Pt  0.2409  0.2409  0.2350
Pt  0.3905  0.3905  0.0565
Pt  0.5000  0.5000  0.5000
Pt  0.6095  0.6095  0.9435
Pt  0.7591  0.7591  0.7650

Record 5
Computed, not measured: a PBEsol-optimized structure of ZrMnSi2 at the SCAN level of DFT.

## Properties
VASP energy: -17.95 eV/atom

Cell lengths 9.7230, 9.7230, 9.7230 Å; angles 149.62, 132.61, 57.34 degrees
Fractional coordinates of all 24 atoms:
Zr  0.1416  0.1416  0.0000
Zr  0.1450  0.4053  0.7398
Zr  0.3345  0.5947  0.7398
Zr  0.6655  0.4053  0.2602
Zr  0.8550  0.5947  0.2602
Zr  0.8584  0.8584  0.0000
Mn  0.0000  0.0000  0.5000
Mn  0.0000  0.5000  0.0000
Mn  0.2517  0.0000  0.2517
Mn  0.5000  0.0000  0.0000
Mn  0.5000  0.5000  0.5000
Mn  0.7483  0.0000  0.7483
Si  0.0000  0.2533  0.2533
Si  0.0000  0.7467  0.7467
Si  0.2129  0.7129  0.5000
Si  0.2127  0.8631  0.3496
Si  0.2988  0.2988  0.0000
Si  0.4866  0.1369  0.3496
Si  0.5000  0.2535  0.7535
Si  0.5000  0.7465  0.2465
Si  0.5134  0.8631  0.6504
Si  0.7012  0.7012  0.0000
Si  0.7873  0.1369  0.6504
Si  0.7871  0.2871  0.5000

Record 6
Computed, not measured: a PBEsol-optimized structure of BiSeBr2O at the SCAN level of DFT.

## Properties
VASP energy: -28.25 eV/atom

Cell lengths 5.5756, 5.5756, 5.6984 Å; angles 90.00, 90.00, 90.00 degrees
Fractional coordinates of all 5 atoms:
Bi  0.0000  0.0000  0.0000
Se  0.0000  0.0000  0.5000
Br  0.0000  0.5000  0.0000
Br  0.5000  0.0000  0.0000
O  0.5000  0.5000  0.5000

Record 7
Computed, not measured: a PBEsol-optimized structure of BeFe2Ag at the SCAN level of DFT.

## Properties
Energy of formation: 208 meV/atom

Cell lengths 2.6248, 2.6248, 6.4138 Å; angles 90.00, 90.00, 90.00 degrees
Fractional coordinates of all 4 atoms:
Be  0.0000  0.0000  0.0000
Fe  0.0000  0.0000  0.4198
Fe  0.5000  0.5000  0.2028
Ag  0.5000  0.5000  0.7389

Record 8
Computed, not measured: a PBEsol-optimized structure of AlIn at the SCAN level of DFT.

## Properties
Energy of formation: 354 meV/atom

Cell lengths 4.7223, 4.7223, 5.7504 Å; angles 90.00, 90.00, 120.00 degrees
Fractional coordinates of all 4 atoms:
Al  0.3333  0.6667  0.2500
Al  0.6667  0.3333  0.7500
In  0.3333  0.6667  0.7500
In  0.6667  0.3333  0.2500

Record 9
Computed, not measured: a PBEsol-optimized structure of Li2TcPt at the SCAN level of DFT.

## Properties
Energy of formation: -124 meV/atom

Cell lengths 2.5554, 2.5554, 8.4158 Å; angles 90.00, 90.00, 90.00 degrees
Fractional coordinates of all 4 atoms:
Li  0.0000  0.0000  0.2330
Li  0.0000  0.0000  0.7670
Tc  0.5000  0.5000  0.5000
Pt  0.5000  0.5000  0.0000

Record 10
Computed, not measured: a PBEsol-optimized structure of NbGeRu at the SCAN level of DFT.

## Properties
Energy of formation: -488 meV/atom

Cell lengths 4.2526, 4.2526, 2.9023 Å; angles 90.00, 90.00, 120.00 degrees
Fractional coordinates of all 3 atoms:
Nb  0.0000  0.0000  0.0000
Ge  0.3333  0.6667  0.5000
Ru  0.6667  0.3333  0.5000

Record 11
Computed, not measured: a PBEsol-optimized structure of K2GdNb5O15 at the SCAN level of DFT.

## Properties
VASP energy: -17.38 eV/atom

Cell lengths 12.6411, 12.6411, 3.9263 Å; angles 90.00, 90.00, 90.00 degrees
Fractional coordinates of all 46 atoms:
K  0.1699  0.3301  0.0000
K  0.3301  0.8301  0.0000
K  0.6699  0.1699  0.0000
K  0.8301  0.6699  0.0000
Gd  0.0000  0.0000  0.0000
Gd  0.5000  0.5000  0.0000
Nb  0.0000  0.5000  0.5000
Nb  0.0769  0.7881  0.5000
Nb  0.2119  0.0769  0.5000
Nb  0.2881  0.5769  0.5000
Nb  0.4231  0.2881  0.5000
Nb  0.5000  0.0000  0.5000
Nb  0.5769  0.7119  0.5000
Nb  0.7119  0.4231  0.5000
Nb  0.7881  0.9231  0.5000
Nb  0.9231  0.2119  0.5000
O  0.0000  0.5000  0.0000
O  0.0014  0.3419  0.5000
O  0.0588  0.1312  0.5000
O  0.0788  0.8139  0.0000
O  0.1312  0.9412  0.5000
O  0.1581  0.4986  0.5000
O  0.1861  0.0788  0.0000
O  0.2177  0.7177  0.5000
O  0.2823  0.2177  0.5000
O  0.3139  0.5788  0.0000
O  0.3419  0.9986  0.5000
O  0.3688  0.4412  0.5000
O  0.4212  0.3139  0.0000
O  0.4412  0.6312  0.5000
O  0.4986  0.8419  0.5000
O  0.5000  0.0000  0.0000
O  0.5014  0.1581  0.5000
O  0.5588  0.3688  0.5000
O  0.5788  0.6861  0.0000
O  0.6312  0.5588  0.5000
O  0.6581  0.0014  0.5000
O  0.6861  0.4212  0.0000
O  0.7177  0.7823  0.5000
O  0.7823  0.2823  0.5000
O  0.8139  0.9212  0.0000
O  0.8419  0.5014  0.5000
O  0.8688  0.0588  0.5000
O  0.9212  0.1861  0.0000
O  0.9412  0.8688  0.5000
O  0.9986  0.6581  0.5000

Record 12
Computed, not measured: a PBEsol-optimized structure of KZr2Tc at the SCAN level of DFT.

## Properties
Energy of formation: 431 meV/atom

Cell lengths 3.1782, 4.2418, 8.2931 Å; angles 90.00, 98.16, 90.00 degrees
Fractional coordinates of all 4 atoms:
K  0.0000  0.0000  0.0000
Zr  0.3411  0.5000  0.6365
Zr  0.8875  0.0000  0.4156
Tc  0.4168  0.5000  0.3514

Record 13
Computed, not measured: a PBEsol-optimized structure of Li2VF5 at the SCAN level of DFT.

## Properties
VASP energy: -8.14 eV/atom

Cell lengths 7.2241, 6.9132, 7.6098 Å; angles 90.00, 90.39, 90.00 degrees
Fractional coordinates of all 32 atoms:
Li  0.0000  0.0100  0.0000
Li  0.0000  0.9900  0.5000
Li  0.2642  0.1957  0.2742
Li  0.2642  0.8043  0.7742
Li  0.5100  0.4845  0.4664
Li  0.5100  0.5155  0.9664
Li  0.7218  0.2604  0.7858
Li  0.7218  0.7396  0.2858
V  0.0077  0.4819  0.3599
V  0.0077  0.5181  0.8599
V  0.5188  0.0092  0.5699
V  0.5188  0.9908  0.0699
F  0.0123  0.4822  0.6102
F  0.0123  0.5178  0.1102
F  0.0222  0.2016  0.3420
F  0.0222  0.7984  0.8420
F  0.2549  0.0302  0.0713
F  0.2549  0.9698  0.5713
F  0.2773  0.4553  0.3531
F  0.2773  0.5447  0.8531
F  0.5026  0.0857  0.3186
F  0.5033  0.2782  0.6303
F  0.5033  0.7218  0.1303
F  0.5026  0.9143  0.8186
F  0.5602  0.2488  0.9962
F  0.5602  0.7512  0.4962
F  0.7425  0.4720  0.3457
F  0.7425  0.5280  0.8457
F  0.7760  0.0515  0.6063
F  0.7760  0.9485  0.1063
F  0.9737  0.2410  0.8746
F  0.9737  0.7590  0.3746

Record 14
Computed, not measured: a PBEsol-optimized structure of Cu3TcB at the SCAN level of DFT.

## Properties
Energy of formation: 2378 meV/atom

Cell lengths 4.5446, 4.5446, 4.5446 Å; angles 90.00, 90.00, 90.00 degrees
Fractional coordinates of all 5 atoms:
Cu  0.0000  0.0000  0.5000
Cu  0.0000  0.5000  0.0000
Cu  0.5000  0.0000  0.0000
Tc  0.0000  0.0000  0.0000
B  0.5000  0.5000  0.5000

Record 15
Computed, not measured: a PBEsol-optimized structure of Ca2LaPN at the SCAN level of DFT.

## Properties
VASP energy: -15.92 eV/atom

Cell lengths 5.7953, 5.7953, 4.0863 Å; angles 90.00, 90.00, 90.00 degrees
Fractional coordinates of all 5 atoms:
Ca  0.0000  0.5000  0.0000
Ca  0.5000  0.0000  0.0000
La  0.0000  0.0000  0.0000
P  0.5000  0.5000  0.5000
N  0.0000  0.0000  0.5000

Record 16
Computed, not measured: a PBEsol-optimized structure of TaMnBe2Cd at the SCAN level of DFT.

## Properties
Energy of formation: 772 meV/atom

Cell lengths 4.1943, 4.1943, 4.3810 Å; angles 90.00, 90.00, 90.00 degrees
Fractional coordinates of all 5 atoms:
Ta  0.0000  0.0000  0.0000
Mn  0.0000  0.0000  0.5000
Be  0.0000  0.5000  0.5000
Be  0.5000  0.0000  0.5000
Cd  0.5000  0.5000  0.0000

Record 17
Computed, not measured: a PBEsol-optimized structure of YInSiNi2 at the SCAN level of DFT.

## Properties
VASP energy: -19.41 eV/atom

Cell lengths 4.6261, 4.6261, 5.2574 Å; angles 90.00, 90.00, 90.00 degrees
Fractional coordinates of all 5 atoms:
Y  0.0000  0.0000  0.0000
In  0.5000  0.5000  0.5000
Si  0.0000  0.0000  0.5000
Ni  0.0000  0.5000  0.0000
Ni  0.5000  0.0000  0.0000

Record 18
Computed, not measured: a PBEsol-optimized structure of NbAlTe2N at the SCAN level of DFT.

## Properties
VASP energy: -24.57 eV/atom

Cell lengths 5.4000, 5.4000, 3.4520 Å; angles 90.00, 90.00, 90.00 degrees
Fractional coordinates of all 5 atoms:
Nb  0.0000  0.0000  0.0000
Al  0.5000  0.5000  0.5000
Te  0.0000  0.5000  0.5000
Te  0.5000  0.0000  0.5000
N  0.5000  0.5000  0.0000

Record 19
Computed, not measured: a PBEsol-optimized structure of CuRuCl2 at the SCAN level of DFT.

## Properties
VASP energy: -15.87 eV/atom

Cell lengths 6.1001, 6.1001, 6.1001 Å; angles 90.00, 90.00, 90.00 degrees
Fractional coordinates of all 16 atoms:
Cu  0.0000  0.0000  0.0000
Cu  0.0000  0.5000  0.5000
Cu  0.5000  0.0000  0.5000
Cu  0.5000  0.5000  0.0000
Ru  0.0000  0.0000  0.5000
Ru  0.0000  0.5000  0.0000
Ru  0.5000  0.0000  0.0000
Ru  0.5000  0.5000  0.5000
Cl  0.2500  0.2500  0.2500
Cl  0.2500  0.2500  0.7500
Cl  0.2500  0.7500  0.2500
Cl  0.2500  0.7500  0.7500
Cl  0.7500  0.2500  0.2500
Cl  0.7500  0.2500  0.7500
Cl  0.7500  0.7500  0.2500
Cl  0.7500  0.7500  0.7500

Record 20
Computed, not measured: a PBEsol-optimized structure of Li2CaCu at the SCAN level of DFT.

## Properties
Energy of formation: 24 meV/atom

Cell lengths 3.4569, 3.4569, 6.8165 Å; angles 90.00, 90.00, 90.00 degrees
Fractional coordinates of all 4 atoms:
Li  0.0000  0.0000  0.0000
Li  0.5000  0.5000  0.2098
Ca  0.0000  0.0000  0.5692
Cu  0.5000  0.5000  0.8229